12
Lattice="5.1520 0.0000 0.0000 -2.5760 4.4617 0.0000 0.0000 0.0000 7.6922" Properties=species:S:1:pos:R:3 comment="BaSr2H8Rh | Alexandria via LeMat-Bulk | PBE-GGA | relaxed" vol_a3_per_atom=14.73 total_magnetization_mub_per_cell=0.00 final_energy_ev_per_atom=-3.778 spacegroup="No. 164" mass_density_g_cm3=3.98 pbc="T T T"
Ba 0.0000 0.0000 3.8461
Sr 2.5760 1.4872 1.1238
Sr 0.0000 2.9745 6.5684
H 2.5760 3.0768 6.6728
H 1.1994 0.6925 6.6728
H 3.9526 0.6925 6.6728
H 0.0000 1.3849 1.0194
H 1.3766 3.7693 1.0194
H -1.3766 3.7693 1.0194
H 2.5760 1.4872 3.4924
H 0.0000 2.9745 4.1998
Rh 0.0000 0.0000 0.0000